Record 1
Here is a relaxed structure of LiNpPdRh from the Alexandria database. Energies are from PBE-GGA.

Formation enthalpy at 0 K, eV/atom: -0.245
Magnetization, μB per formula unit: 3.617
Density of states at the Fermi level, states/eV/cell: 24.5

a b c (Å): 6.5355 6.5355 6.5355
angles (deg): 90.00 90.00 90.00
Last column: nearest neighbours and their distance in Å.
Space group F-43m (No. 216)
Unique sites:
1 Li 0.0000 0.0000 0.0000 [4 per cell]  4 Pd 2.83, 4 Rh 2.83
2 Np 0.0000 0.0000 0.5000 [4 per cell]  4 Rh 2.83, 4 Pd 2.83
3 Pd 0.2500 0.2500 0.7500 [4 per cell]  4 Li 2.83, 4 Np 2.83
4 Rh 0.2500 0.2500 0.2500 [4 per cell]  4 Li 2.83, 4 Np 2.83


Record 2
Here is a relaxed structure of LiNpPdS3 from the Alexandria database. Energies are from PBE-GGA.

Energy relative to the elements, uncorrected, kcal/mol of atoms: -22.4
Magnetization, μB per formula unit: 2.307
Density of states at the Fermi level, states/eV/cell: 16.0

a b c (Å): 7.4041 3.7046 8.3904
angles (deg): 90.00 104.51 90.00
Last column: nearest neighbours and their distance in Å.
Space group P2_1/m (No. 11)
Unique sites:
1 Li 0.1547 0.2500 0.1538 [2 per cell]  5 S 2.50-2.77
2 Np 0.3057 0.7500 0.7617 [2 per cell]  7 S 2.67-2.98
3 Pd 0.3750 0.7500 0.4031 [2 per cell]  3 S 2.40-2.42
4 S 0.0880 0.2500 0.8465 [2 per cell]  3 Li 2.50-2.58, 2 Np 2.67
5 S 0.2299 0.2500 0.5037 [2 per cell]  2 Pd 2.40
6 S 0.4240 0.7500 0.1289 [2 per cell]  1 Pd 2.42


Record 3
Here is a relaxed structure of Li2NpPdS4 from the Alexandria database. Energies are from PBE-GGA.

Energy relative to the elements, uncorrected, kcal/mol of atoms: -23.8
Magnetization, μB per formula unit: 2.996
Density of states at the Fermi level, states/eV/cell: 29.5

a b c (Å): 10.2225 10.0066 7.8888
angles (deg): 90.00 129.81 90.00
Last column: nearest neighbours and their distance in Å.
Space group C2/c (No. 15)
Unique sites:
1 Li 0.0000 0.0000 0.0000 [4 per cell]  6 S 2.56-2.78
2 Li 0.2500 0.2500 0.0000 [4 per cell]  4 S 2.49-2.50
3 Np 0.2500 0.2500 0.5000 [4 per cell]  6 S 2.60-2.75
4 Pd 0.0000 0.5000 0.0000 [4 per cell]  4 S 2.39-2.42
5 S 0.0317 0.2629 0.0466 [8 per cell]  1 Pd 2.39, 2 Li 2.49-2.65, 1 Np 2.66
6 S 0.2283 0.0051 0.9202 [8 per cell]  1 Pd 2.42, 2 Li 2.50-2.56, 1 Np 2.60


Record 4
Here is a relaxed structure of Li3Np3PdS8 from the Alexandria database. Energies are from PBE-GGA.

Energy relative to the elements, uncorrected, kcal/mol of atoms: -26.5
Magnetization, μB per formula unit: 9.913
Density of states at the Fermi level, states/eV/cell: 82.1

a b c (Å): 7.6021 7.6021 18.5807
angles (deg): 90.00 90.00 120.00
Last column: nearest neighbours and their distance in Å.
Space group R-3m (No. 166, hexagonal axes)
Unique sites:
1 Li 0.0000 0.5000 0.0000 [9 per cell]  6 S 2.66-2.69
2 Np 0.0000 0.5000 0.5000 [9 per cell]  6 S 2.68-2.71
3 Pd 0.0000 0.0000 0.5000 [3 per cell]  6 S 2.61
4 S 0.0000 0.0000 0.2526 [6 per cell]  3 Li 2.66, 3 Np 2.71
5 S 0.0092 0.5046 0.2475 [18 per cell]  1 Pd 2.61, 2 Np 2.68, 2 Li 2.69


Record 5
Here is a relaxed structure of Li2Np3PdS6 from the Alexandria database. Energies are from PBE-GGA.

Energy relative to the elements, uncorrected, kcal/mol of atoms: -27.9
Magnetization, μB per formula unit: 10.999
Density of states at the Fermi level, states/eV/cell: 52.7

a b c (Å): 6.8649 11.9205 6.2404
angles (deg): 90.00 110.77 90.00
Last column: nearest neighbours and their distance in Å.
Space group C2/m (No. 12)
Unique sites:
1 Li 0.0000 0.1701 0.0000 [4 per cell]  6 S 2.67-2.72
2 Np 0.0000 0.0000 0.5000 [2 per cell]  6 S 2.70-2.74
3 Np 0.0000 0.3385 0.5000 [4 per cell]  6 S 2.72-2.73
4 Pd 0.0000 0.5000 0.0000 [2 per cell]  6 S 2.70-2.78
5 S 0.2434 0.0000 0.2423 [4 per cell]  1 Pd 2.70, 3 Np 2.70-2.72, 2 Li 2.72
6 S 0.2437 0.1706 0.7487 [8 per cell]  2 Li 2.67-2.68, 3 Np 2.72-2.74, 1 Pd 2.78


Record 6
Here is a relaxed structure of Li3Np3PdSe8 from the Alexandria database. Energies are from PBE-GGA.

Energy relative to the elements, uncorrected, kcal/mol of atoms: -23.3
Magnetization, μB per formula unit: 10.376
Density of states at the Fermi level, states/eV/cell: 87.4

a b c (Å): 7.9191 7.9191 19.6194
angles (deg): 90.00 90.00 120.00
Last column: nearest neighbours and their distance in Å.
Space group R-3m (No. 166, hexagonal axes)
Unique sites:
1 Li 0.0000 0.5000 0.0000 [9 per cell]  6 Se 2.77-2.79
2 Np 0.0000 0.5000 0.5000 [9 per cell]  6 Se 2.83-2.85
3 Pd 0.0000 0.0000 0.5000 [3 per cell]  6 Se 2.71
4 Se 0.0000 0.0000 0.2537 [6 per cell]  3 Li 2.77, 3 Np 2.85
5 Se 0.0139 0.5070 0.2484 [18 per cell]  1 Pd 2.71, 2 Li 2.79, 2 Np 2.83


Record 7
Here is a relaxed structure of LiNpPdSe3 from the Alexandria database. Energies are from PBE-GGA.

Energy relative to the elements, uncorrected, kcal/mol of atoms: -19.7
Magnetization, μB per formula unit: 2.480
Density of states at the Fermi level, states/eV/cell: 17.6

a b c (Å): 7.5513 3.8683 8.8555
angles (deg): 90.00 103.06 90.00
Last column: nearest neighbours and their distance in Å.
Space group P2_1/m (No. 11)
Unique sites:
1 Li 0.1647 0.2500 0.1612 [2 per cell]  6 Se 2.70-2.85
2 Np 0.3060 0.7500 0.7507 [2 per cell]  6 Se 2.80-2.97
3 Pd 0.3901 0.7500 0.4125 [2 per cell]  3 Se 2.52-2.57, 2 Pd 2.78
4 Se 0.0874 0.2500 0.8483 [2 per cell]  3 Li 2.70, 2 Np 2.80
5 Se 0.2159 0.2500 0.4900 [2 per cell]  2 Pd 2.52
6 Se 0.4216 0.7500 0.1298 [2 per cell]  1 Pd 2.57, 2 Li 2.80, 2 Np 2.85


Record 8
Here is a relaxed structure of LiNpSnPd from the Alexandria database. Energies are from PBE-GGA.

Formation enthalpy at 0 K, eV/atom: -0.289
Magnetization, μB per formula unit: 4.003
Density of states at the Fermi level, states/eV/cell: 14.9

a b c (Å): 6.8057 6.8057 6.8057
angles (deg): 90.00 90.00 90.00
Last column: nearest neighbours and their distance in Å.
Space group F-43m (No. 216)
Unique sites:
1 Li 0.0000 0.0000 0.0000 [4 per cell]  4 Sn 2.95, 4 Np 2.95
2 Np 0.2500 0.2500 0.7500 [4 per cell]  4 Li 2.95, 4 Pd 2.95
3 Sn 0.2500 0.2500 0.2500 [4 per cell]  4 Li 2.95, 4 Pd 2.95
4 Pd 0.0000 0.0000 0.5000 [4 per cell]  4 Sn 2.95, 4 Np 2.95


Record 9
Here is a relaxed structure of LiNpSn2Pd4 from the Alexandria database. Energies are from PBE-GGA.

Formation enthalpy at 0 K, eV/atom: -0.484
Magnetization, μB per formula unit: 3.868
Density of states at the Fermi level, states/eV/cell: 32.4

a b c (Å): 4.5921 4.5921 24.1123
angles (deg): 90.00 90.00 120.00
Last column: nearest neighbours and their distance in Å.
Space group R-3m (No. 166, hexagonal axes)
Unique sites:
1 Li 0.0000 0.0000 0.0000 [3 per cell]  8 Pd 2.66-2.81
2 Np 0.0000 0.0000 0.5000 [3 per cell]  8 Pd 2.98-3.07
3 Sn 0.0000 0.0000 0.2578 [6 per cell]  7 Pd 2.77-2.79
4 Pd 0.0000 0.0000 0.1104 [6 per cell]  1 Li 2.66, 3 Sn 2.78, 3 Np 2.98
5 Pd 0.0000 0.0000 0.3725 [6 per cell]  4 Sn 2.77-2.79, 3 Li 2.81, 1 Np 3.07


Record 10
Here is a relaxed structure of Li3Pm2NpS6 from the Alexandria database. Energies are from PBE-GGA.

Energy relative to the elements, uncorrected, kcal/mol of atoms: -37.7
Magnetization, μB per formula unit: 4.003
Density of states at the Fermi level, states/eV/cell: 15.4

a b c (Å): 6.9377 12.0189 6.6059
angles (deg): 90.00 110.44 90.00
Last column: nearest neighbours and their distance in Å.
Space group C2/m (No. 12)
Unique sites:
1 Li 0.0000 0.0000 0.0000 [2 per cell]  6 S 2.75-2.80
2 Li 0.0000 0.3369 0.0000 [4 per cell]  6 S 2.73-2.83
3 Pm 0.0000 0.1670 0.5000 [4 per cell]  6 S 2.81-2.82
4 Np 0.0000 0.5000 0.5000 [2 per cell]  6 S 2.77
5 S 0.2439 0.5000 0.2462 [4 per cell]  3 Li 2.73-2.80, 1 Np 2.77, 2 Pm 2.81
6 S 0.2492 0.3359 0.7555 [8 per cell]  3 Li 2.75-2.83, 1 Np 2.77, 2 Pm 2.81-2.82


Record 11
Here is a relaxed structure of LiPmNp2S5 from the Alexandria database. Energies are from PBE-GGA.

Energy relative to the elements, uncorrected, kcal/mol of atoms: -21.2
Magnetization, μB per formula unit: 8.000
Density of states at the Fermi level, states/eV/cell: 12.5

a b c (Å): 5.1081 5.1081 9.6196
angles (deg): 90.00 90.00 90.00
Last column: nearest neighbours and their distance in Å.
Space group P4/mmm (No. 123)
Unique sites:
1 Li 0.0000 0.0000 0.0000 [1 per cell]  2 S 2.15
2 Pm 0.0000 0.0000 0.5000 [1 per cell]  6 S 2.55-2.66
3 Np 0.5000 0.5000 0.2789 [2 per cell]  1 S 2.68
4 S 0.0000 0.0000 0.2237 [2 per cell]  1 Li 2.15
5 S 0.0000 0.5000 0.5000 [2 per cell]  2 Pm 2.55
6 S 0.5000 0.5000 0.0000 [1 per cell]  2 Np 2.68


Record 12
Here is a relaxed structure of Li3Pm4NpS8 from the Alexandria database. Energies are from PBE-GGA.

Energy relative to the elements, uncorrected, kcal/mol of atoms: -40.4
Magnetization, μB per formula unit: 4.673
Density of states at the Fermi level, states/eV/cell: 43.9

a b c (Å): 7.9637 7.9637 19.1255
angles (deg): 90.00 90.00 120.00
Last column: nearest neighbours and their distance in Å.
Space group R-3m (No. 166, hexagonal axes)
Unique sites:
1 Li 0.0000 0.5000 0.0000 [9 per cell]  6 S 2.75-2.77
2 Pm 0.0000 0.0000 0.5000 [3 per cell]  6 S 2.83
3 Pm 0.0000 0.5000 0.5000 [9 per cell]  6 S 2.82-2.84
4 Np 0.0000 0.0000 0.0000 [3 per cell]  6 S 2.77
5 S 0.0000 0.0000 0.2525 [6 per cell]  3 Li 2.77, 3 Pm 2.82
6 S 0.0020 0.5010 0.2536 [18 per cell]  2 Li 2.75, 1 Np 2.77, 3 Pm 2.83-2.84